Record 1
Compound: PaAl2Pt2
Source: Alexandria via LeMat-Bulk
Functional: PBE-GGA
Structure: relaxed

a = 6.3661 Å, b = 6.3661 Å, c = 6.3661 Å
α = 142.82°, β = 142.82°, γ = 53.59°
Closest atoms and distances in Å follow each position.
Sites, in units of the cell vectors:
Pa: 0.0000 0.0000 0.0000  8 Pt 3.16, 8 Al 3.49
Al: 0.2500 0.7500 0.5000  4 Pt 2.53
Al: 0.7500 0.2500 0.5000  4 Pt 2.53
Pt: 0.3834 0.3834 0.0000  4 Al 2.53, 1 Pt 2.65
Pt: 0.6166 0.6166 0.0000  4 Al 2.53, 1 Pt 2.65

## Properties
For the calculated formation energy, the calculation gives -0.9460 eV per atom. As for the energy above the most stable polymorph in this dataset: 1.15 kJ/mol of atoms. Its calculated total energy is -6.76 eV per atom.

***

Record 2
Compound: MnPb3C
Source: Alexandria via LeMat-Bulk
Functional: PBE-GGA
Structure: relaxed

a = 5.0133 Å, b = 5.0133 Å, c = 5.0133 Å
α = 90.00°, β = 90.00°, γ = 90.00°
Closest atoms and distances in Å follow each position.
Sites, in units of the cell vectors:
Mn: 0.0000 0.0000 0.0000  12 Pb 3.54
Pb: 0.0000 0.5000 0.5000  2 C 2.51
Pb: 0.5000 0.0000 0.5000  2 C 2.51
Pb: 0.5000 0.5000 0.0000  2 C 2.51
C: 0.5000 0.5000 0.5000  6 Pb 2.51

## Properties
For the calculated formation energy, the calculation gives 1.2115 eV per atom. As for the energy above the most stable polymorph in this dataset: 0.00 kJ/mol of atoms. Its calculated total energy is -4.69 eV per atom.

***

Record 3
Compound: NaNpNiS4
Source: Alexandria via LeMat-Bulk
Functional: PBE-GGA
Structure: relaxed

a = 6.5468 Å, b = 5.4532 Å, c = 8.2312 Å
α = 90.00°, β = 106.54°, γ = 90.00°
Closest atoms and distances in Å follow each position.
Sites, in units of the cell vectors:
Na: 0.2224 0.2500 0.4410  6 S 2.87-3.14
Na: 0.7776 0.7500 0.5590  6 S 2.87-3.14
Np: 0.2356 0.2500 0.9397  6 S 2.57-2.86
Np: 0.7644 0.7500 0.0603  6 S 2.57-2.86
Ni: 0.2669 0.7500 0.1783  4 S 2.17-2.21
Ni: 0.7331 0.2500 0.8217  4 S 2.17-2.21
S: 0.0556 0.7500 0.3456  1 Ni 2.21
S: 0.0788 0.7500 0.9130  1 Ni 2.18
S: 0.4765 0.5175 0.7746  1 Ni 2.17
S: 0.4765 0.9825 0.7746  1 Ni 2.17
S: 0.5235 0.0175 0.2254  1 Ni 2.17
S: 0.5235 0.4825 0.2254  1 Ni 2.17
S: 0.9212 0.2500 0.0870  1 Ni 2.18
S: 0.9444 0.2500 0.6544  1 Ni 2.21

## Properties
For the raw formation energy, the calculation gives -0.877 eV/atom. Its calculated total energy is -6.10 eV per atom.

***

Record 4
Compound: SrPAu
Source: Alexandria via LeMat-Bulk
Functional: PBE-GGA
Structure: relaxed

a = 5.3544 Å, b = 5.3544 Å, c = 7.4531 Å
α = 96.82°, β = 96.82°, γ = 49.65°
Closest atoms and distances in Å follow each position.
Sites, in units of the cell vectors:
Sr: 0.0000 0.0000 0.0000  3 P 3.00-3.24, 1 Au 3.11
Sr: 0.2300 0.2300 0.6104  5 P 3.08-3.27, 1 Au 3.24
P: 0.6678 0.6678 0.8741  1 Au 2.41
P: 0.9223 0.9223 0.4443  3 Au 2.41
Au: 0.4908 0.4908 0.3796  2 P 2.41
Au: 0.7368 0.7368 0.1964  2 P 2.41

## Properties
For the calculated formation energy, the calculation gives -0.7758 eV per atom. Its calculated total energy is -4.23 eV per atom.

***

Record 5
Compound: FeOsRh2
Source: Alexandria via LeMat-Bulk
Functional: PBE-GGA
Structure: relaxed

a = 2.7390 Å, b = 4.5222 Å, c = 4.5307 Å
α = 90.00°, β = 90.00°, γ = 90.00°
Closest atoms and distances in Å follow each position.
Sites, in units of the cell vectors:
Fe: 0.0000 0.0000 0.0000  4 Rh 2.64, 4 Os 2.65, 2 Fe 2.74
Os: 0.5000 0.0000 0.5000  4 Rh 2.64, 4 Fe 2.65, 2 Os 2.74
Rh: 0.0000 0.5000 0.5000  4 Os 2.64, 6 Rh 2.65-2.74
Rh: 0.5000 0.5000 0.0000  4 Fe 2.64, 6 Rh 2.65-2.74

## Properties
For the calculated formation energy, the calculation gives 0.3067 eV per atom. As for the energy above the most stable polymorph in this dataset: 28.29 kJ/mol of atoms. Its calculated total energy is -8.29 eV per atom.

***

Record 6
Compound: AcMg2Zn
Source: Alexandria via LeMat-Bulk
Functional: PBE-GGA
Structure: relaxed

a = 4.6094 Å, b = 4.6094 Å, c = 5.2785 Å
α = 90.00°, β = 90.00°, γ = 90.00°
Closest atoms and distances in Å follow each position.
Sites, in units of the cell vectors:
Ac: 0.0000 0.0000 0.0000  4 Zn 3.26, 8 Mg 3.50
Mg: 0.0000 0.5000 0.5000  4 Mg 3.26, 4 Ac 3.50, 4 Zn 3.50
Mg: 0.5000 0.0000 0.5000  4 Mg 3.26, 4 Ac 3.50, 4 Zn 3.50
Zn: 0.5000 0.5000 0.0000  4 Ac 3.26, 8 Mg 3.50

## Properties
For the calculated formation energy, the calculation gives -0.0209 eV per atom. As for the energy above the most stable polymorph in this dataset: 14.41 kJ/mol of atoms. Its calculated total energy is -2.16 eV per atom.

***

Record 7
Compound: Sr2Hg5Pb3
Source: Alexandria via LeMat-Bulk
Functional: PBE-GGA
Structure: relaxed

a = 10.1378 Å, b = 10.1378 Å, c = 10.1378 Å
α = 103.44°, β = 90.35°, γ = 139.60°
Closest atoms and distances in Å follow each position.
Sites, in units of the cell vectors:
Sr: 0.1260 0.2383 0.3644  10 Hg 3.72-4.03, 6 Pb 3.78-4.14
Sr: 0.3740 0.7383 0.1123  10 Hg 3.72-4.03, 6 Pb 3.78-4.14
Sr: 0.6260 0.2617 0.8877  10 Hg 3.72-4.03, 6 Pb 3.78-4.14
Sr: 0.8740 0.7617 0.6356  10 Hg 3.72-4.03, 6 Pb 3.78-4.14
Hg: 0.0170 0.7500 0.2670  2 Hg 2.97, 2 Pb 3.04
Hg: 0.1259 0.6475 0.7734  3 Pb 2.87-3.12, 2 Hg 2.97
Hg: 0.2500 0.2500 0.0000  4 Pb 3.01
Hg: 0.3741 0.1475 0.5216  3 Pb 2.87-3.12, 2 Hg 2.97
Hg: 0.4830 0.7500 0.7330  2 Hg 2.97, 2 Pb 3.04
Hg: 0.5170 0.2500 0.2670  2 Hg 2.97, 2 Pb 3.04
Hg: 0.6259 0.8525 0.4784  3 Pb 2.87-3.12, 2 Hg 2.97
Hg: 0.7500 0.7500 0.0000  4 Pb 3.01
Hg: 0.8741 0.3525 0.2266  3 Pb 2.87-3.12, 2 Hg 2.97
Hg: 0.9830 0.2500 0.7330  2 Hg 2.97, 2 Pb 3.04
Pb: 0.1317 0.8757 0.0074  5 Hg 2.87-3.04
Pb: 0.2500 0.7500 0.5000  6 Hg 3.12-3.33
Pb: 0.3683 0.3757 0.7440  5 Hg 2.87-3.04
Pb: 0.6317 0.6243 0.2560  5 Hg 2.87-3.04
Pb: 0.7500 0.2500 0.5000  6 Hg 3.12-3.33
Pb: 0.8683 0.1243 0.9926  5 Hg 2.87-3.04

## Properties
For the calculated formation energy, the calculation gives -0.2368 eV per atom. Its calculated total energy is -1.84 eV per atom.

***

Record 8
Compound: Cr2InP
Source: Alexandria via LeMat-Bulk
Functional: PBE-GGA
Structure: relaxed

a = 4.2449 Å, b = 5.2499 Å, c = 5.2499 Å
α = 34.00°, β = 90.00°, γ = 90.00°
Closest atoms and distances in Å follow each position.
Sites, in units of the cell vectors:
Cr: 0.0000 0.0000 0.0000  2 P 2.41
Cr: 0.5000 0.3946 0.3946  2 P 2.27
In: 0.5000 0.6599 0.6599  3 Cr 2.66-2.81
P: 0.0000 0.3153 0.3153  4 Cr 2.27-2.41

## Properties
For the calculated formation energy, the calculation gives 0.2206 eV per atom. As for the energy above the most stable polymorph in this dataset: 18.82 kJ/mol of atoms. Its calculated total energy is -6.63 eV per atom.

***

Record 9
Compound: CaZrP
Source: Alexandria via LeMat-Bulk
Functional: PBE-GGA
Structure: relaxed

a = 3.7317 Å, b = 11.4910 Å, c = 11.4910 Å
α = 18.18°, β = 90.00°, γ = 90.00°
Closest atoms and distances in Å follow each position.
Sites, in units of the cell vectors:
Ca: 0.0000 0.0000 0.0000  2 P 3.03
Ca: 0.5000 0.3677 0.3677  1 P 2.75
Zr: 0.0000 0.7267 0.7267  5 P 2.64-2.72
Zr: 0.5000 0.1316 0.1316  5 P 2.60-2.66
P: 0.0000 0.6069 0.6069  5 Zr 2.66-2.72
P: 0.5000 0.2463 0.2463  5 Zr 2.60-2.64, 1 Ca 2.75

## Properties
For the calculated formation energy, the calculation gives -0.9007 eV per atom. Its calculated total energy is -6.22 eV per atom.

***

Record 10
Compound: CaCeF5
Source: Alexandria via LeMat-Bulk
Functional: PBE-GGA
Structure: relaxed

a = 4.9825 Å, b = 4.9825 Å, c = 8.0818 Å
α = 92.78°, β = 92.78°, γ = 89.00°
Closest atoms and distances in Å follow each position.
Sites, in units of the cell vectors:
Ca: 0.0000 0.0000 0.0000  6 F 2.26-2.38
Ca: 0.0000 0.0000 0.5000  6 F 2.26-2.38
Ce: 0.4959 0.5041 0.7500  7 F 2.38-2.45
Ce: 0.5041 0.4959 0.2500  7 F 2.38-2.45
F: 0.0569 0.6305 0.8316  1 Ca 2.26, 1 Ce 2.38
F: 0.1588 0.8412 0.2500  2 Ca 2.31, 1 Ce 2.41
F: 0.2514 0.4001 0.4931  1 Ca 2.38, 2 Ce 2.39-2.45
F: 0.3695 0.9431 0.6684  1 Ca 2.26, 1 Ce 2.38
F: 0.4001 0.2514 0.9931  1 Ca 2.38, 2 Ce 2.39-2.45
F: 0.5999 0.7486 0.0069  1 Ca 2.38, 2 Ce 2.39-2.45
F: 0.6305 0.0569 0.3316  1 Ca 2.26, 1 Ce 2.38
F: 0.7486 0.5999 0.5069  1 Ca 2.38, 2 Ce 2.39-2.45
F: 0.8412 0.1588 0.7500  2 Ca 2.31, 1 Ce 2.41
F: 0.9431 0.3695 0.1684  1 Ca 2.26, 1 Ce 2.38

## Properties
For the raw formation energy, the calculation gives -3.881 eV/atom. As for the energy above the most stable polymorph in this dataset: 0.00 kJ/mol of atoms. Its calculated total energy is -6.35 eV per atom.

***

Record 11
Compound: Li3ZnPd3
Source: Alexandria via LeMat-Bulk
Functional: PBE-GGA
Structure: relaxed

a = 6.0219 Å, b = 6.0219 Å, c = 5.8946 Å
α = 90.00°, β = 90.00°, γ = 91.22°
Closest atoms and distances in Å follow each position.
Sites, in units of the cell vectors:
Li: 0.2305 0.2305 0.5000  6 Pd 2.62-2.73
Li: 0.2393 0.2393 0.0000  6 Pd 2.60-2.62, 2 Li 2.90
Li: 0.2421 0.7579 0.0000  6 Pd 2.57-2.64
Li: 0.7579 0.2421 0.0000  6 Pd 2.57-2.64
Li: 0.7607 0.7607 0.0000  6 Pd 2.60-2.62, 2 Li 2.90
Li: 0.7695 0.7695 0.5000  6 Pd 2.62-2.73
Zn: 0.2571 0.7429 0.5000  6 Pd 2.58
Zn: 0.7429 0.2571 0.5000  6 Pd 2.58
Pd: 0.0000 0.5000 0.2481  6 Li 2.57-2.62, 2 Zn 2.58
Pd: 0.0000 0.5000 0.7519  6 Li 2.57-2.62, 2 Zn 2.58
Pd: 0.5000 0.0000 0.2481  6 Li 2.57-2.62, 2 Zn 2.58
Pd: 0.5000 0.0000 0.7519  6 Li 2.57-2.62, 2 Zn 2.58
Pd: 0.5000 0.5000 0.2426  2 Zn 2.58, 6 Li 2.62-2.73, 1 Pd 2.86
Pd: 0.5000 0.5000 0.7574  2 Zn 2.58, 6 Li 2.62-2.73, 1 Pd 2.86

## Properties
For the calculated formation energy, the calculation gives -0.4345 eV per atom. As for the energy above the most stable polymorph in this dataset: 0.00 kJ/mol of atoms. Its calculated total energy is -3.66 eV per atom.

***

Record 12
Compound: NdSm2
Source: Alexandria via LeMat-Bulk
Functional: PBE-GGA
Structure: relaxed

a = 4.2933 Å, b = 4.2933 Å, c = 6.3460 Å
α = 109.65°, β = 109.65°, γ = 90.08°
Closest atoms and distances in Å follow each position.
Sites, in units of the cell vectors:
Nd: 0.0000 0.0000 0.0000  10 Sm 3.57-3.69
Sm: 0.3304 0.3304 0.6606  5 Sm 3.52-3.79, 5 Nd 3.57-3.69
Sm: 0.6696 0.6696 0.3394  5 Sm 3.52-3.79, 5 Nd 3.57-3.69

## Properties
For the calculated formation energy, the calculation gives 0.1110 eV per atom. As for the energy above the most stable polymorph in this dataset: 9.83 kJ/mol of atoms. Its calculated total energy is -4.62 eV per atom.